# 1
The following is a PBE-GGA calculation of crystalline NaAcBr4 at its relaxed geometry, from Alexandria.

Cell: 5.241 5.241 7.498 Å, 93.91 93.91 89.89°
Sites, in units of the cell vectors:
1 Na 0.000 0.000 0.000
2 Ac 0.523 0.523 0.484
3 Br 0.046 0.544 0.726
4 Br 0.500 0.998 0.238
5 Br 0.544 0.046 0.726
6 Br 0.998 0.500 0.238

Values from the calculation:
* M_tot: 0.0 μB per formula unit
* excess energy over the best structure of this formula in the dataset: 0 meV/atom
* total DFT energy (no corrections): -23.24 eV/cell
* energy relative to the elements, uncorrected: -1.853 eV per atom

---

# 2
The following is a PBE-GGA calculation of crystalline Na2AcBr at its relaxed geometry, from Alexandria.

Cell: 11.668 11.668 11.668 Å, 19.31 19.31 19.31°
Sites, in units of the cell vectors:
1 Na 0.112 0.112 0.112
2 Na 0.888 0.888 0.888
3 Ac 0.000 0.000 0.000
4 Br 0.500 0.500 0.500

Values from the calculation:
* M_tot: 0.5 μB per formula unit
* total DFT energy (no corrections): -10.43 eV/cell
* energy relative to the elements, uncorrected: -0.502 eV per atom

---

# 3
The following is a PBE-GGA calculation of crystalline Na2AcBr4 at its relaxed geometry, from Alexandria.

Cell: 8.810 8.810 8.810 Å, 138.72 138.72 59.81°
Sites, in units of the cell vectors:
1 Na 0.121 0.121 0.000
2 Na 0.879 0.879 0.000
3 Ac 0.500 0.500 0.000
4 Br 0.000 0.500 0.500
5 Br 0.306 0.306 0.000
6 Br 0.500 0.000 0.500
7 Br 0.694 0.694 0.000

Values from the calculation:
* M_tot: 0.0 μB per formula unit
* total DFT energy (no corrections): -23.37 eV/cell
* energy relative to the elements, uncorrected: -1.418 eV per atom

---

# 4
The following is a PBE-GGA calculation of crystalline Na3AcBr4O12 at its relaxed geometry, from Alexandria.

Cell: 7.264 7.264 7.264 Å, 104.07 104.07 104.07°
Sites, in units of the cell vectors:
1 Na 0.000 0.581 0.419
2 Na 0.419 0.000 0.581
3 Na 0.581 0.419 0.000
4 Ac 0.000 0.000 0.000
5 Br 0.107 0.500 0.893
6 Br 0.500 0.500 0.500
7 Br 0.500 0.893 0.107
8 Br 0.893 0.107 0.500
9 O 0.028 0.684 0.782
10 O 0.042 0.958 0.500
11 O 0.218 0.316 0.972
12 O 0.316 0.972 0.218
13 O 0.346 0.654 0.500
14 O 0.500 0.042 0.958
15 O 0.500 0.346 0.654
16 O 0.654 0.500 0.346
17 O 0.684 0.782 0.028
18 O 0.782 0.028 0.684
19 O 0.958 0.500 0.042
20 O 0.972 0.218 0.316

Values from the calculation:
* M_tot: 1.9 μB per formula unit
* total DFT energy (no corrections): -84.84 eV/cell
* energy relative to the elements, uncorrected: -0.529 eV per atom

---

# 5
The following is a PBE-GGA calculation of crystalline NaAcPbBr6 at its relaxed geometry, from Alexandria.

Cell: 7.620 7.620 13.386 Å, 90.00 90.00 120.00°
Sites, in units of the cell vectors:
1 Na 0.333 0.667 0.250
2 Na 0.667 0.333 0.750
3 Ac 0.333 0.667 0.750
4 Ac 0.667 0.333 0.250
5 Pb 0.000 0.000 0.000
6 Pb 0.000 0.000 0.500
7 Br 0.004 0.340 0.125
8 Br 0.004 0.664 0.375
9 Br 0.336 0.340 0.375
10 Br 0.336 0.996 0.125
11 Br 0.340 0.004 0.625
12 Br 0.340 0.336 0.875
13 Br 0.660 0.664 0.125
14 Br 0.660 0.996 0.375
15 Br 0.664 0.004 0.875
16 Br 0.664 0.660 0.625
17 Br 0.996 0.336 0.625
18 Br 0.996 0.660 0.875

Values from the calculation:
* M_tot: 0.0 μB per formula unit
* total DFT energy (no corrections): -65.82 eV/cell
* energy relative to the elements, uncorrected: -1.527 eV per atom

---

# 6
The following is a PBE-GGA calculation of crystalline RbNa2AcBr6 at its relaxed geometry, from Alexandria.

Cell: 8.429 8.429 8.429 Å, 55.51 55.51 55.51°
Sites, in units of the cell vectors:
1 Rb 0.000 0.000 0.000
2 Na 0.284 0.284 0.284
3 Na 0.796 0.796 0.796
4 Ac 0.483 0.483 0.483
5 Br 0.070 0.634 0.453
6 Br 0.196 0.556 0.890
7 Br 0.453 0.070 0.634
8 Br 0.556 0.890 0.196
9 Br 0.634 0.453 0.070
10 Br 0.890 0.196 0.556

Values from the calculation:
* M_tot: 0.0 μB per formula unit
* total DFT energy (no corrections): -35.58 eV/cell
* energy relative to the elements, uncorrected: -1.782 eV per atom